Computed, not measured: K2CaRh after structural relaxation at the GGA-PBE level of DFT.

Unit cell a=12.571 b=12.571 c=12.571 alpha=16.95 beta=16.95 gamma=16.95
Each line ends with the local moment (μB).
Element x y z (fractional)
Ca1 0.750 0.750 0.750  -0.01
K1 0.521 0.521 0.521  -0.01
K2 0.979 0.979 0.979  -0.01
Rh1 0.250 0.250 0.250  0.66

Its crystal system is trigonal. For the density of states at the Fermi level, the calculation gives 5.903 states/eV/cell. As for the energy of formation: 0.658 eV per atom. The space group is R-3m, No. 166. The calculation puts the spin magnetization at 0.58 μB per formula unit. For the calculated total energy, the calculation gives -8.91 eV per formula unit.



Computed, not measured: KCa2SiRh after structural relaxation at the GGA-PBE level of DFT.

Unit cell a=5.598 b=5.598 c=4.711 alpha=90.00 beta=90.00 gamma=90.00
Element x y z (fractional)
Ca1 0.500 0.000 0.000
Ca2 0.000 0.500 0.000
Si1 0.000 0.000 0.500
K1 0.500 0.500 0.500
Rh1 0.000 0.000 0.000

Its crystal system is tetragonal. For the density of states at the Fermi level, the calculation gives 1.985 states/eV/cell. The space group is P4/mmm, No. 123. The calculation puts the spin magnetization at 0.40 μB per formula unit. For the calculated total energy, the calculation gives -19.09 eV per formula unit. The energy relative to the elements, uncorrected comes out at -244 meV per atom.



Computed, not measured: KCa2SnRh after structural relaxation at the GGA-PBE level of DFT.

Unit cell a=5.596 b=5.596 c=5.204 alpha=90.00 beta=90.00 gamma=90.00
Element x y z (fractional)
Rh1 0.000 0.000 0.000
Sn1 0.000 0.000 0.500
K1 0.500 0.500 0.500
Ca1 0.500 0.000 0.000
Ca2 0.000 0.500 0.000

Its crystal system is tetragonal. For the density of states at the Fermi level, the calculation gives 3.404 states/eV/cell. As for the energy of formation: -0.335 eV per atom. The space group is P4/mmm, No. 123. The calculation puts the spin magnetization at 0.27 μB per formula unit. For the calculated total energy, the calculation gives -18.13 eV per formula unit.



Computed, not measured: KSr2CaRh after structural relaxation at the GGA-PBE level of DFT.

Unit cell a=6.043 b=6.043 c=5.728 alpha=90.00 beta=90.00 gamma=90.00
Element x y z (fractional)
K1 0.500 0.500 0.500
Sr1 0.000 0.500 0.000
Sr2 0.500 0.000 0.000
Ca1 0.000 0.000 0.500
Rh1 0.000 0.000 0.000

Its crystal system is tetragonal. For the density of states at the Fermi level, the calculation gives 4.115 states/eV/cell. As for the energy of formation: -0.131 eV per atom. The space group is P4/mmm, No. 123. The calculation puts the spin magnetization at 0.00 μB per formula unit. For the calculated total energy, the calculation gives -14.47 eV per formula unit.



Computed, not measured: KCaTaRh2 after structural relaxation at the GGA-PBE level of DFT.

Unit cell a=4.861 b=4.806 c=4.861 alpha=90.00 beta=90.00 gamma=90.00
Each line ends with the local moment (μB).
Element x y z (fractional)
K1 0.000 0.000 0.000  0.07
Rh1 0.500 0.000 0.000  -0.01
Rh2 0.000 0.000 0.500  -0.01
Ta1 0.000 0.500 0.000  0.63
Ca1 0.500 0.500 0.500  0.02

Its crystal system is tetragonal. For the density of states at the Fermi level, the calculation gives 6.064 states/eV/cell. As for the energy of formation: 2.000 eV per atom. The space group is P4/mmm, No. 123. The calculation puts the spin magnetization at 0.91 μB per formula unit. For the calculated total energy, the calculation gives -19.65 eV per formula unit.



Computed, not measured: KCaVRh2 after structural relaxation at the GGA-PBE level of DFT.

Unit cell a=4.995 b=5.089 c=4.995 alpha=90.00 beta=90.00 gamma=90.00
Each line ends with the local moment (μB).
Element x y z (fractional)
V1 0.000 0.500 0.000  0.18
Rh1 0.000 0.000 0.500  -0.10
Rh2 0.500 0.000 0.000  -0.10
Ca1 0.000 0.000 0.000  0.05
K1 0.500 0.500 0.500  0.00

Its crystal system is tetragonal. For the density of states at the Fermi level, the calculation gives 8.902 states/eV/cell. As for the energy of formation: 1.626 eV per atom. The space group is P4/mmm, No. 123. The calculation puts the spin magnetization at 0.16 μB per formula unit. For the calculated total energy, the calculation gives -18.79 eV per formula unit.



Computed, not measured: KCa2YRh after structural relaxation at the GGA-PBE level of DFT.

Unit cell a=5.804 b=5.804 c=5.384 alpha=90.00 beta=90.00 gamma=90.00
Element x y z (fractional)
K1 0.500 0.500 0.500
Ca1 0.000 0.500 0.000
Ca2 0.500 0.000 0.000
Y1 0.000 0.000 0.500
Rh1 0.000 0.000 0.000

Its crystal system is tetragonal. For the density of states at the Fermi level, the calculation gives 3.590 states/eV/cell. As for the energy of formation: -0.162 eV per atom. The space group is P4/mmm, No. 123. The calculation puts the spin magnetization at 0.00 μB per formula unit. For the calculated total energy, the calculation gives -19.73 eV per formula unit.



Computed, not measured: KCaY2Rh after structural relaxation at the GGA-PBE level of DFT.

Unit cell a=5.469 b=5.469 c=5.877 alpha=90.00 beta=90.00 gamma=90.00
Element x y z (fractional)
Y1 0.500 0.000 0.000
Y2 0.000 0.500 0.000
Rh1 0.000 0.000 0.000
K1 0.500 0.500 0.500
Ca1 0.000 0.000 0.500

Its crystal system is tetragonal. For the density of states at the Fermi level, the calculation gives 3.910 states/eV/cell. As for the energy of formation: -0.154 eV per atom. The space group is P4/mmm, No. 123. The calculation puts the spin magnetization at 0.00 μB per formula unit. For the calculated total energy, the calculation gives -24.15 eV per formula unit.



Computed, not measured: KCa2ZnRh after structural relaxation at the GGA-PBE level of DFT.

Unit cell a=5.491 b=5.491 c=5.174 alpha=90.00 beta=90.00 gamma=90.00
Element x y z (fractional)
Ca1 0.500 0.000 0.000
Ca2 0.000 0.500 0.000
Zn1 0.000 0.000 0.500
Rh1 0.000 0.000 0.000
K1 0.500 0.500 0.500

Its crystal system is tetragonal. For the density of states at the Fermi level, the calculation gives 3.717 states/eV/cell. As for the energy of formation: -0.139 eV per atom. The space group is P4/mmm, No. 123. The calculation puts the spin magnetization at 0.00 μB per formula unit. For the calculated total energy, the calculation gives -14.42 eV per formula unit.



Computed, not measured: K2CaRu after structural relaxation at the GGA-PBE level of DFT.

Unit cell a=12.991 b=12.991 c=12.991 alpha=15.82 beta=15.82 gamma=15.82
Each line ends with the local moment (μB).
Element x y z (fractional)
K1 0.515 0.515 0.515  -0.01
K2 0.985 0.985 0.985  -0.01
Ca1 0.750 0.750 0.750  0.01
Ru1 0.250 0.250 0.250  1.92

Its crystal system is trigonal. Its polymorph energy (0 for the lowest one) is 1.81 eV/f.u. For the density of states at the Fermi level, the calculation gives 4.027 states/eV/cell. As for the energy of formation: 1.030 eV per atom. The space group is R-3m, No. 166. The calculation puts the spin magnetization at 2.02 μB per formula unit. For the calculated total energy, the calculation gives -9.35 eV per formula unit.



Computed, not measured: K2CaRu after structural relaxation at the GGA-PBE level of DFT.

Unit cell a=12.680 b=12.680 c=12.680 alpha=16.87 beta=16.87 gamma=16.87
Each line ends with the local moment (μB).
Element x y z (fractional)
Ru1 0.493 0.493 0.493  0.20
K1 0.005 0.005 0.005  0.00
K2 0.224 0.224 0.224  0.00
Ca1 0.778 0.778 0.778  -0.01

Its crystal system is trigonal. Its polymorph energy (0 for the lowest one) is 0.54 eV/f.u. For the density of states at the Fermi level, the calculation gives 2.762 states/eV/cell. As for the energy of formation: 0.713 eV per atom. The space group is R3m, No. 160. The calculation puts the spin magnetization at 0.16 μB per formula unit. For the calculated total energy, the calculation gives -10.62 eV per formula unit.



Computed, not measured: K2CaRu after structural relaxation at the GGA-PBE level of DFT.

Unit cell a=4.488 b=4.488 c=13.093 alpha=80.13 beta=80.13 gamma=90.00
Each line ends with the local moment (μB).
Element x y z (fractional)
Ca1 0.250 0.750 0.500  0.04
Ca2 0.500 0.500 0.000  0.04
Ru1 0.750 0.250 0.500  -0.78
Ru2 0.000 0.000 0.000  -0.77
K1 0.641 0.125 0.250  0.02
K2 0.109 0.625 0.250  0.02
K3 0.375 0.359 0.750  0.02
K4 0.875 0.891 0.750  0.02

Its crystal system is tetragonal. Its polymorph energy (0 for the lowest one) is 1.52 eV/f.u. For the density of states at the Fermi level, the calculation gives 9.539 states/eV/cell. As for the energy of formation: 0.959 eV per atom. The space group is I-42d, No. 122. The calculation puts the spin magnetization at 0.40 μB per formula unit. For the calculated total energy, the calculation gives -9.64 eV per formula unit.